# Mo4IrC PBE relaxed
data_Mo4IrC
_chemical_formula_sum 'Mo16 Ir4 C4'
_symmetry_space_group_name_H-M 'C 1 2/c 1'
_symmetry_Int_Tables_number 15
_symmetry_space_group_name_Hall '-C 2yc'
_cell_length_a 7.2532
_cell_length_b 11.2930
_cell_length_c 5.6072
_cell_angle_alpha 90.00
_cell_angle_beta 126.98
_cell_angle_gamma 90.00
loop_
_atom_site_label
_atom_site_fract_x
_atom_site_fract_y
_atom_site_fract_z
Mo1 0.1590 0.2151 0.2140
Mo2 0.2345 0.0389 0.7039
Ir1 0.0000 0.3664 0.7500
C1 0.0000 0.0564 0.2500
# Formation energy from the elements   0.263 eV/atom
# Calculated total energy   -239.329 eV per cell
# Size of the total moment   0.00 Bohr magnetons per cell